Below is La3Tb2ThAs6 after structural relaxation, with properties calculated at the PBE level. Values from VASP.

Structure (Quantum ESPRESSO input):
```
&SYSTEM
  ibrav = 0, nat = 12, ntyp = 4
/
ATOMIC_SPECIES
As 74.92 As.upf
Tb 158.93 Tb.upf
La 138.91 La.upf
Th 232.04 Th.upf
CELL_PARAMETERS angstrom
7.394 0.001 0.000
-3.694 6.405 0.000
-1.234 -2.136 7.005
ATOMIC_POSITIONS crystal
As 0.255 0.255 0.762
As 0.745 0.745 0.238
Tb 0.667 0.333 0.000
Tb 0.333 0.667 0.000
As 0.415 0.080 0.239
As 0.585 0.920 0.761
La 0.833 0.167 0.500
As 0.920 0.585 0.761
Th 0.000 0.000 0.000
La 0.167 0.833 0.500
La 0.500 0.500 0.500
As 0.080 0.415 0.239
```

Values from the calculation:
As for the density of states at the Fermi level: 3.55 states/eV per cell. Its formation energy is -1548.9 meV per atom. The calculation puts the electronic total energy at -6.4955 eV per atom. The total magnetization is 0.0 μB per cell.

=====

Below is Pm6Nd2Sc after structural relaxation, with properties calculated at the PBE level. Values from VASP.

Structure (Quantum ESPRESSO input):
```
&SYSTEM
  ibrav = 0, nat = 18, ntyp = 3
/
ATOMIC_SPECIES
Pm 145.00 Pm.upf
Sc 44.96 Sc.upf
Nd 144.24 Nd.upf
CELL_PARAMETERS angstrom
6.194 -0.128 -0.124
1.214 9.982 1.477
1.214 1.800 9.928
ATOMIC_POSITIONS crystal
Pm 0.173 0.973 0.242
Pm 0.140 0.341 0.069
Sc 0.250 0.106 0.894
Pm 0.511 0.309 0.591
Pm 0.673 0.242 0.973
Pm 0.360 0.931 0.659
Nd 0.565 0.433 0.223
Pm 0.640 0.069 0.341
Pm 0.327 0.758 0.027
Pm 0.011 0.591 0.309
Pm 0.489 0.691 0.409
Nd 0.935 0.777 0.567
Pm 0.827 0.027 0.758
Pm 0.989 0.409 0.691
Nd 0.435 0.567 0.777
Nd 0.065 0.223 0.433
Sc 0.750 0.894 0.106
Pm 0.860 0.659 0.931
```

Values from the calculation:
As for the density of states at the Fermi level: 27.52 states/eV per cell. Its formation energy is 90.9 meV per atom. The calculation puts the electronic total energy at -4.8392 eV per atom. The total magnetization is 0.0 μB per cell.

=====

Below is SrLiZnCu after structural relaxation, with properties calculated at the PBE level. Values from VASP.

Structure (Quantum ESPRESSO input):
```
&SYSTEM
  ibrav = 0, nat = 4, ntyp = 4
/
ATOMIC_SPECIES
Zn 65.41 Zn.upf
Li 6.94 Li.upf
Sr 87.62 Sr.upf
Cu 63.55 Cu.upf
CELL_PARAMETERS angstrom
4.433 0.000 0.000
-2.216 3.831 -0.005
0.000 -2.552 5.361
ATOMIC_POSITIONS crystal
Zn 0.103 0.205 0.951
Li 0.814 0.628 0.084
Sr 0.624 0.249 0.514
Cu 0.425 0.851 0.918
```

Values from the calculation:
As for the density of states at the Fermi level: 2.26 states/eV per cell. Its formation energy is -126.8 meV per atom. The calculation puts the electronic total energy at -2.3682 eV per atom. The total magnetization is 0.0 μB per cell.

=====

Below is Cr2ReHg after structural relaxation, with properties calculated at the PBE level. Values from VASP.

Structure (Quantum ESPRESSO input):
```
&SYSTEM
  ibrav = 0, nat = 4, ntyp = 3
/
ATOMIC_SPECIES
Hg 200.59 Hg.upf
Re 186.21 Re.upf
Cr 52.00 Cr.upf
CELL_PARAMETERS angstrom
3.028 0.000 0.000
0.000 3.028 0.000
0.000 0.000 6.713
ATOMIC_POSITIONS crystal
Hg 0.500 0.500 0.250
Re 0.500 0.500 0.750
Cr 0.000 0.000 0.539
Cr 0.000 0.000 0.961
```

Values from the calculation:
As for the density of states at the Fermi level: 2.50 states/eV per cell. Its formation energy is 370.6 meV per atom. The calculation puts the electronic total energy at -7.6286 eV per atom. The total magnetization is 3.1 μB per cell.

=====

Below is Sr2Li2Ge after structural relaxation, with properties calculated at the PBE level. Values from VASP.

Structure (Quantum ESPRESSO input):
```
&SYSTEM
  ibrav = 0, nat = 10, ntyp = 3
/
ATOMIC_SPECIES
Li 6.94 Li.upf
Sr 87.62 Sr.upf
Ge 72.64 Ge.upf
CELL_PARAMETERS angstrom
-2.696 -1.214 -6.634
6.409 0.421 1.294
-2.695 -6.960 2.369
ATOMIC_POSITIONS crystal
Li 0.184 0.123 0.444
Sr 0.379 0.634 0.857
Sr 0.745 0.366 0.643
Li 0.816 0.877 0.556
Ge 0.784 0.000 0.250
Ge 0.216 0.000 0.750
Li 0.061 0.877 0.056
Sr 0.255 0.634 0.357
Li 0.939 0.123 0.944
Sr 0.621 0.366 0.143
```

Values from the calculation:
As for the density of states at the Fermi level: 5.20 states/eV per cell. Its formation energy is -282.1 meV per atom. The calculation puts the electronic total energy at -2.6438 eV per atom. The total magnetization is 0.0 μB per cell.

=====

Copy entry 2 word for word.
Below is Pm6Nd2Sc after structural relaxation, with properties calculated at the PBE level. Values from VASP.

Structure (Quantum ESPRESSO input):
```
&SYSTEM
  ibrav = 0, nat = 18, ntyp = 3
/
ATOMIC_SPECIES
Pm 145.00 Pm.upf
Sc 44.96 Sc.upf
Nd 144.24 Nd.upf
CELL_PARAMETERS angstrom
6.194 -0.128 -0.124
1.214 9.982 1.477
1.214 1.800 9.928
ATOMIC_POSITIONS crystal
Pm 0.173 0.973 0.242
Pm 0.140 0.341 0.069
Sc 0.250 0.106 0.894
Pm 0.511 0.309 0.591
Pm 0.673 0.242 0.973
Pm 0.360 0.931 0.659
Nd 0.565 0.433 0.223
Pm 0.640 0.069 0.341
Pm 0.327 0.758 0.027
Pm 0.011 0.591 0.309
Pm 0.489 0.691 0.409
Nd 0.935 0.777 0.567
Pm 0.827 0.027 0.758
Pm 0.989 0.409 0.691
Nd 0.435 0.567 0.777
Nd 0.065 0.223 0.433
Sc 0.750 0.894 0.106
Pm 0.860 0.659 0.931
```

Values from the calculation:
As for the density of states at the Fermi level: 27.52 states/eV per cell. Its formation energy is 90.9 meV per atom. The calculation puts the electronic total energy at -4.8392 eV per atom. The total magnetization is 0.0 μB per cell.

=====

Which formula does entry 3 have? SrLiZnCu